# 1
This record from Alexandria via LeMat-Bulk describes a relaxed Y2ThSc crystal. The functional is PBE.

abc: 3.496 3.496 9.968
angles: 90.00 90.00 90.00
Positions (direct):
Th 0.500 0.500 0.500
Y 0.000 0.000 0.757
Y 0.000 0.000 0.243
Sc 0.500 0.500 0.000

## Properties
ΔE_f ... 0.06 eV/atom
Electronic total energy ... -26.44 eV for the cell shown
V ... 30.46 A^3/atom
Fermi-level density of states ... 1.58 states/eV per atom

=====

# 2
This record from Alexandria via LeMat-Bulk describes a relaxed Pr3Ho8 crystal. The functional is PBE.

abc: 7.209 7.209 7.209
angles: 91.06 91.06 91.06
Positions (direct):
Ho 0.305 0.111 0.918
Ho 0.350 0.350 0.350
Ho 0.650 0.650 0.650
Ho 0.082 0.695 0.889
Ho 0.695 0.889 0.082
Ho 0.111 0.918 0.305
Ho 0.918 0.305 0.111
Ho 0.889 0.082 0.695
Pr 0.500 0.500 0.000
Pr 0.000 0.500 0.500
Pr 0.500 0.000 0.500

## Properties
ΔE_f ... 0.56 eV/atom
Electronic total energy ... -44.84 eV for the cell shown
V ... 34.04 A^3/atom
Fermi-level density of states ... 1.87 states/eV per atom

=====

# 3
This record from Alexandria via LeMat-Bulk describes a relaxed DyCoH crystal. The functional is PBE.

abc: 3.569 3.630 3.630
angles: 120.00 90.00 90.00
Positions (direct):
Co 0.167 0.000 0.000
Dy 0.667 0.333 0.667
H 0.167 0.667 0.333

## Properties
Electronic total energy ... -14.95 eV for the cell shown
V ... 13.58 A^3/atom
Fermi-level density of states ... 0.80 states/eV per atom

=====

# 4
This record from Alexandria via LeMat-Bulk describes a relaxed LiCeErZn crystal. The functional is PBE.

abc: 5.118 5.118 5.118
angles: 60.00 60.00 60.00
Site moments in Bohr magnetons follow the coordinates.
Positions (direct):
Ce 0.250 0.250 0.250  0.71
Zn 0.000 0.000 0.000  0.00
Li 0.500 0.500 0.500  0.01
Er 0.750 0.750 0.750  0.07

## Properties
ΔE_f ... -0.02 eV/atom
Electronic total energy ... -13.78 eV for the cell shown
V ... 23.69 A^3/atom
Fermi-level density of states ... 1.88 states/eV per atom

=====

# 5
This record from Alexandria via LeMat-Bulk describes a relaxed Gd2GaFe crystal. The functional is PBE.

abc: 4.992 4.992 4.992
angles: 60.00 60.00 60.00
Site moments in Bohr magnetons follow the coordinates.
Positions (direct):
Gd 0.250 0.250 0.250  7.20
Gd 0.750 0.750 0.750  7.20
Fe 0.000 0.000 0.000  -2.19
Ga 0.500 0.500 0.500  -0.01

## Properties
ΔE_f ... -0.18 eV/atom
Electronic total energy ... -40.37 eV for the cell shown
V ... 21.99 A^3/atom
Fermi-level density of states ... 1.73 states/eV per atom

=====

# 6
This record from Alexandria via LeMat-Bulk describes a relaxed BaNbAlCl2 crystal. The functional is PBE.

abc: 5.730 7.312 5.730
angles: 90.00 90.00 90.00
Site moments in Bohr magnetons follow the coordinates.
Positions (direct):
Al 0.500 0.500 0.500  0.04
Cl 0.000 0.000 0.500  0.02
Cl 0.500 0.000 0.000  0.02
Ba 0.000 0.000 0.000  0.06
Nb 0.000 0.500 0.000  3.16

## Properties
Formation energy (no corrections) ... 336 meV/atom
Electronic total energy ... -17.75 eV for the cell shown
V ... 48.01 A^3/atom
Fermi-level density of states ... 1.77 states/eV per atom

=====

# 7
This record from Alexandria via LeMat-Bulk describes a relaxed Pm3TlAg8 crystal. The functional is PBE.

abc: 5.721 5.721 9.972
angles: 73.33 73.33 60.00
Positions (direct):
Tl 0.871 0.871 0.387
Ag 0.437 0.943 0.184
Ag 0.943 0.437 0.184
Ag 0.938 0.435 0.690
Ag 0.437 0.437 0.184
Ag 0.188 0.188 0.436
Ag 0.435 0.938 0.690
Ag 0.688 0.688 0.937
Ag 0.938 0.938 0.690
Pm 0.994 0.994 0.019
Pm 0.379 0.379 0.862
Pm 0.504 0.504 0.487

## Properties
ΔE_f ... -0.17 eV/atom
Electronic total energy ... -41.48 eV for the cell shown
V ... 22.22 A^3/atom
Fermi-level density of states ... 0.67 states/eV per atom

=====

# 8
This record from Alexandria via LeMat-Bulk describes a relaxed Dy2PaO6 crystal. The functional is PBE.

abc: 3.846 5.413 6.596
angles: 114.22 106.99 90.00
Site moments in Bohr magnetons follow the coordinates.
Positions (direct):
O 0.500 0.239 0.000  0.09
O 0.839 0.594 0.678  0.14
O 0.500 0.761 0.000  0.09
O 0.161 0.406 0.322  0.14
O 0.161 0.917 0.322  0.14
O 0.839 0.083 0.678  0.14
Pa 0.000 0.000 0.000  0.00
Dy 0.668 0.668 0.336  -0.01
Dy 0.332 0.332 0.664  -0.01

## Properties
Formation energy (no corrections) ... -3400 meV/atom
Electronic total energy ... -79.05 eV for the cell shown
V ... 13.18 A^3/atom
Fermi-level density of states ... 1.03 states/eV per atom

=====

# 9
This record from Alexandria via LeMat-Bulk describes a relaxed Mg7Zn2Rh2 crystal. The functional is PBE.

abc: 5.707 7.588 5.707
angles: 90.00 116.55 90.00
Positions (direct):
Mg 0.000 0.000 0.000
Mg 0.000 0.287 0.500
Mg 0.500 0.713 0.000
Mg 0.500 0.191 0.500
Mg 0.000 0.713 0.500
Mg 0.500 0.809 0.500
Mg 0.500 0.287 0.000
Zn 0.216 0.500 0.216
Zn 0.784 0.500 0.784
Rh 0.724 0.000 0.276
Rh 0.276 0.000 0.724

## Properties
ΔE_f ... -0.10 eV/atom
Electronic total energy ... -29.49 eV for the cell shown
V ... 20.10 A^3/atom
Fermi-level density of states ... 0.49 states/eV per atom

=====

# 10
This record from Alexandria via LeMat-Bulk describes a relaxed Tm3AlNi8 crystal. The functional is PBE.

abc: 5.024 5.024 15.953
angles: 90.00 90.00 120.00
Positions (direct):
Ni 0.000 0.000 0.750
Ni 0.338 0.169 0.875
Ni 0.169 0.831 0.375
Ni 0.831 0.662 0.625
Ni 0.169 0.338 0.125
Ni 0.338 0.169 0.625
Ni 0.831 0.169 0.625
Ni 0.000 0.000 0.250
Ni 0.169 0.338 0.375
Ni 0.662 0.831 0.125
Ni 0.667 0.333 0.750
Ni 0.333 0.667 0.250
Ni 0.831 0.169 0.875
Ni 0.169 0.831 0.125
Ni 0.831 0.662 0.875
Ni 0.662 0.831 0.375
Tm 0.333 0.667 0.750
Tm 0.667 0.333 0.250
Tm 0.667 0.333 0.455
Tm 0.333 0.667 0.545
Tm 0.667 0.333 0.045
Tm 0.333 0.667 0.955
Al 0.000 0.000 0.500
Al 0.000 0.000 0.000

## Properties
ΔE_f ... -0.49 eV/atom
Electronic total energy ... -138.51 eV for the cell shown
V ... 14.53 A^3/atom
Fermi-level density of states ... 0.89 states/eV per atom

=====

# 11
This record from Alexandria via LeMat-Bulk describes a relaxed LiGaSi crystal. The functional is PBE.

abc: 2.744 8.326 4.587
angles: 105.93 89.62 100.03
Positions (direct):
Ga 0.721 0.437 0.720
Ga 0.279 0.563 0.280
Li 0.912 0.827 0.768
Li 0.088 0.173 0.232
Si 0.439 0.881 0.280
Si 0.561 0.119 0.720

## Properties
Formation energy (no corrections) ... -73 meV/atom
Electronic total energy ... -21.17 eV for the cell shown
V ... 16.52 A^3/atom
Fermi-level density of states ... 0.44 states/eV per atom

=====

# 12
This record from Alexandria via LeMat-Bulk describes a relaxed NaLiIn4 crystal. The functional is PBE.

abc: 3.347 4.422 10.083
angles: 90.00 90.00 90.00
Positions (direct):
In 0.000 0.000 0.312
In 0.000 0.000 0.688
In 0.500 0.500 0.152
In 0.500 0.500 0.848
Na 0.500 0.500 0.500
Li 0.000 0.000 0.000

## Properties
ΔE_f ... -0.13 eV/atom
Electronic total energy ... -14.94 eV for the cell shown
V ... 24.87 A^3/atom
Fermi-level density of states ... 0.25 states/eV per atom